# 1
Computed, not measured: a relaxed structure of Na3Ca2ZrS6 at the PBE-GGA level of DFT.

Calculated values
ΔE_f (raw), meV/atom: -1510

Geometry as CIF:
```
data_Na3Ca2ZrS6
_cell_length_a 6.8787
_cell_length_b 11.9211
_cell_length_c 7.0054
_cell_angle_alpha 90.00
_cell_angle_beta 109.29
_cell_angle_gamma 90.00
_space_group_name_H-M_alt 'C 1 2/m 1'
_space_group_IT_number 12
loop_
_space_group_symop_operation_xyz
'x,y,z'
'-x,-y,-z'
'-x,y,-z'
'x,-y,z'
'x+1/2,y+1/2,z'
'-x+1/2,-y+1/2,-z'
'-x+1/2,y+1/2,-z'
'x+1/2,-y+1/2,z'
loop_
_atom_site_label
_atom_site_type_symbol
_atom_site_fract_x
_atom_site_fract_y
_atom_site_fract_z
Na1 Na 0.0000 0.0000 0.0000
Na2 Na 0.0000 0.3307 0.0000
Ca1 Ca 0.0000 0.1669 0.5000
Zr1 Zr 0.0000 0.5000 0.5000
S1 S 0.2311 0.3450 0.7275
S2 S 0.2340 0.5000 0.2752
```

# 2
Computed, not measured: a relaxed structure of GaNiP2S at the PBE-GGA level of DFT.

Calculated values
ΔE_f (raw), meV/atom: 489

Geometry as CIF:
```
data_GaNiP2S
_cell_length_a 4.3069
_cell_length_b 4.3069
_cell_length_c 4.9592
_cell_angle_alpha 90.00
_cell_angle_beta 90.00
_cell_angle_gamma 90.00
_space_group_name_H-M_alt 'P 4/m m m'
_space_group_IT_number 123
_space_group_name_Hall '-P 4 2'
loop_
_atom_site_label
_atom_site_type_symbol
_atom_site_fract_x
_atom_site_fract_y
_atom_site_fract_z
Ga1 Ga 0.0000 0.0000 0.0000
Ni1 Ni 0.5000 0.5000 0.5000
P1 P 0.0000 0.5000 0.5000
S1 S 0.5000 0.5000 0.0000
```

# 3
Computed, not measured: a relaxed structure of BaSr6Au4 at the PBE-GGA level of DFT.

Calculated values
Energy relative to the elements, eV/atom: -0.46

Geometry as CIF:
```
data_BaSr6Au4
_cell_length_a 6.7614
_cell_length_b 6.7614
_cell_length_c 17.7178
_cell_angle_alpha 90.00
_cell_angle_beta 90.00
_cell_angle_gamma 90.00
_space_group_name_H-M_alt 'I -4 2 m'
_space_group_IT_number 121
_space_group_name_Hall 'I -4 2'
loop_
_atom_site_label
_atom_site_type_symbol
_atom_site_fract_x
_atom_site_fract_y
_atom_site_fract_z
Ba1 Ba 0.0000 0.0000 0.0000
Sr1 Sr 0.0000 0.5000 0.0000
Sr2 Sr 0.2300 0.2300 0.6817
Au1 Au 0.2381 0.2381 0.8654
```

# 4
Computed, not measured: a relaxed structure of La4Sb3P at the PBE-GGA level of DFT.

Calculated values
ΔE_f (raw), meV/atom: -1317

Geometry as CIF:
```
data_La4Sb3P
_cell_length_a 9.1064
_cell_length_b 12.8464
_cell_length_c 4.5329
_cell_angle_alpha 90.00
_cell_angle_beta 90.00
_cell_angle_gamma 90.00
_space_group_name_H-M_alt 'C m m m'
_space_group_IT_number 65
_space_group_name_Hall '-C 2 2'
loop_
_atom_site_label
_atom_site_type_symbol
_atom_site_fract_x
_atom_site_fract_y
_atom_site_fract_z
La1 La 0.0000 0.2421 0.0000
La2 La 0.2358 0.0000 0.5000
Sb1 Sb 0.0000 0.5000 0.0000
Sb2 Sb 0.2500 0.2500 0.5000
P1 P 0.0000 0.0000 0.0000
```

# 5
Computed, not measured: a relaxed structure of BeV2Mo at the PBE-GGA level of DFT.

Calculated values
Energy relative to the elements, eV/atom: 0.48

Geometry as CIF:
```
data_BeV2Mo
_cell_length_a 6.7369
_cell_length_b 6.7369
_cell_length_c 4.7231
_cell_angle_alpha 90.00
_cell_angle_beta 90.00
_cell_angle_gamma 90.00
_space_group_name_H-M_alt 'I -4 2 d'
_space_group_IT_number 122
_space_group_name_Hall 'I -4 2bw'
loop_
_atom_site_label
_atom_site_type_symbol
_atom_site_fract_x
_atom_site_fract_y
_atom_site_fract_z
Be1 Be 0.0000 0.0000 0.0000
V1 V 0.2177 0.2500 0.1250
Mo1 Mo 0.0000 0.0000 0.5000
```

# 6
Computed, not measured: a relaxed structure of Pm2TiHg at the PBE-GGA level of DFT.

Calculated values
Energy relative to the elements, eV/atom: -0.05

Geometry as CIF:
```
data_Pm2TiHg
_cell_length_a 3.4975
_cell_length_b 3.4975
_cell_length_c 8.6857
_cell_angle_alpha 90.00
_cell_angle_beta 90.00
_cell_angle_gamma 90.00
_space_group_name_H-M_alt 'P 4/m m m'
_space_group_IT_number 123
_space_group_name_Hall '-P 4 2'
loop_
_atom_site_label
_atom_site_type_symbol
_atom_site_fract_x
_atom_site_fract_y
_atom_site_fract_z
Pm1 Pm 0.0000 0.0000 0.2455
Ti1 Ti 0.5000 0.5000 0.0000
Hg1 Hg 0.5000 0.5000 0.5000
```

# 7
Computed, not measured: a relaxed structure of Ce2MgOs2 at the PBE-GGA level of DFT.

Calculated values
Energy relative to the elements, eV/atom: -0.09

Geometry as CIF:
```
data_Ce2MgOs2
_cell_length_a 12.4553
_cell_length_b 4.7949
_cell_length_c 10.0156
_cell_angle_alpha 90.00
_cell_angle_beta 126.25
_cell_angle_gamma 90.00
_space_group_name_H-M_alt 'C 1 2/m 1'
_space_group_IT_number 12
loop_
_space_group_symop_operation_xyz
'x,y,z'
'-x,-y,-z'
'-x,y,-z'
'x,-y,z'
'x+1/2,y+1/2,z'
'-x+1/2,-y+1/2,-z'
'-x+1/2,y+1/2,-z'
'x+1/2,-y+1/2,z'
loop_
_atom_site_label
_atom_site_type_symbol
_atom_site_fract_x
_atom_site_fract_y
_atom_site_fract_z
Ce1 Ce 0.1789 0.0000 0.0810
Ce2 Ce 0.1793 0.0000 0.5815
Mg1 Mg 0.0007 0.5000 0.2522
Os1 Os 0.1164 0.0000 0.2749
Os2 Os 0.1162 0.0000 0.7748
```

# 8
Computed, not measured: a relaxed structure of LuPt4Rh at the PBE-GGA level of DFT.

Calculated values
Energy relative to the elements, eV/atom: -0.52

Geometry as CIF:
```
data_LuPt4Rh
_cell_length_a 7.4715
_cell_length_b 7.4715
_cell_length_c 7.4715
_cell_angle_alpha 90.00
_cell_angle_beta 90.00
_cell_angle_gamma 90.00
_space_group_name_H-M_alt 'F -4 3 m'
_space_group_IT_number 216
_space_group_name_Hall 'F -4 2 3'
loop_
_atom_site_label
_atom_site_type_symbol
_atom_site_fract_x
_atom_site_fract_y
_atom_site_fract_z
Lu1 Lu 0.0000 0.0000 0.0000
Pt1 Pt 0.1244 0.1244 0.6244
Rh1 Rh 0.2500 0.2500 0.2500
```